Computed, not measured: a crystal of CrCoI2Cl relaxed with PBEsol at the SCAN level of DFT.

a = 5.330 Å, b = 5.330 Å, c = 4.259 Å
α = 90.00°, β = 90.00°, γ = 90.00°
Space group P4/mmm (No. 123)
Inequivalent atoms, fractional coordinates:
Cr: 0.000 0.000 0.000 [1 per cell]
Co: 0.500 0.500 0.500 [1 per cell]
I: 0.000 0.500 0.500 [2 per cell]
Cl: 0.500 0.500 0.000 [1 per cell]

- energy relative to the elements, uncorrected (eV per atom) = 0.01
- theoretical density (g cm⁻³) = 5.49
- M_tot (μB per formula unit) = 6.1

Computed, not measured: a crystal of LaTl2Cl relaxed with PBEsol at the SCAN level of DFT.

a = 3.694 Å, b = 6.108 Å, c = 9.892 Å
α = 90.00°, β = 90.00°, γ = 90.00°
Space group Cmmm (No. 65)
Inequivalent atoms, fractional coordinates:
La: 0.000 0.000 0.000 [2 per cell]
Tl: 0.000 0.500 0.273 [4 per cell]
Cl: 0.000 0.000 0.500 [2 per cell]

- energy relative to the elements, uncorrected (eV per atom) = -0.40
- theoretical density (g cm⁻³) = 8.68
- M_tot (μB per formula unit) = 0.0